1.
AcYMgRu: optimized geometry, PBE.

Output
Total DFT energy (no corrections) = -21.5 eV/f.u.

a = 5.260 Å, b = 5.260 Å, c = 5.260 Å
α = 60.00°, β = 60.00°, γ = 60.00°
Element x y z (fractional)
1 Y 0.000 0.000 0.000
2 Ru 0.750 0.750 0.750
3 Ac 0.500 0.500 0.500
4 Mg 0.250 0.250 0.250

---

2.
AcMgZnRu: optimized geometry, PBE.

Output
Total DFT energy (no corrections) = -15.9 eV/f.u.

a = 5.009 Å, b = 5.009 Å, c = 5.009 Å
α = 60.00°, β = 60.00°, γ = 60.00°
Element x y z (fractional)
1 Mg 0.000 0.000 0.000
2 Ru 0.750 0.750 0.750
3 Ac 0.500 0.500 0.500
4 Zn 0.250 0.250 0.250

---

3.
Ac4MgS7: optimized geometry, PBE.

Output
Uncorrected formation energy = -1.98 eV/atom

a = 4.180 Å, b = 7.138 Å, c = 12.121 Å
α = 105.67°, β = 90.00°, γ = 107.02°
Element x y z (fractional)
1 Ac 0.691 0.383 0.789
2 Ac 0.310 0.620 0.206
3 Ac 0.997 0.995 0.988
4 Ac 0.113 0.225 0.439
5 Mg 0.885 0.770 0.574
6 S 0.748 0.496 0.371
7 S 0.279 0.558 0.651
8 S 0.335 0.670 0.952
9 S 0.659 0.318 0.051
10 S 0.033 0.066 0.762
11 S 0.962 0.923 0.214
12 S 0.488 0.975 0.503

---

4.
AcMgS: optimized geometry, PBE.

Output
Uncorrected formation energy = -1.16 eV/atom

a = 5.149 Å, b = 5.149 Å, c = 8.551 Å
α = 72.48°, β = 72.48°, γ = 60.00°
Element x y z (fractional)
1 Mg 0.673 0.673 0.982
2 Mg 0.327 0.327 0.018
3 S 0.217 0.217 0.348
4 S 0.783 0.783 0.652
5 Ac 0.908 0.908 0.275
6 Ac 0.092 0.092 0.725

---

5.
Ac3MgS6: optimized geometry, PBE.

Output
Uncorrected formation energy = -1.82 eV/atom

a = 6.645 Å, b = 9.478 Å, c = 9.478 Å
α = 102.14°, β = 90.00°, γ = 90.00°
Element x y z (fractional)
1 Ac 0.476 0.929 0.705
2 Ac 0.976 0.705 0.929
3 Ac 0.411 0.385 0.615
4 Ac 0.911 0.615 0.385
5 Ac 0.976 0.071 0.295
6 Ac 0.476 0.295 0.071
7 Mg 0.023 0.191 0.809
8 Mg 0.523 0.809 0.191
9 S 0.196 0.673 0.646
10 S 0.696 0.646 0.673
11 S 0.188 0.423 0.898
12 S 0.688 0.898 0.423
13 S 0.168 0.032 0.968
14 S 0.665 0.218 0.782
15 S 0.165 0.782 0.218
16 S 0.668 0.968 0.032
17 S 0.188 0.102 0.577
18 S 0.688 0.577 0.102
19 S 0.196 0.354 0.327
20 S 0.696 0.327 0.354

---

6.
Ac6MgS8: optimized geometry, PBE.

Output
Uncorrected formation energy = -1.88 eV/atom

a = 7.927 Å, b = 7.927 Å, c = 7.927 Å
α = 67.12°, β = 67.12°, γ = 67.12°
Element x y z (fractional)
1 Ac 0.085 0.469 0.697
2 Ac 0.303 0.915 0.531
3 Ac 0.531 0.303 0.915
4 Ac 0.469 0.697 0.085
5 Ac 0.697 0.085 0.469
6 Ac 0.915 0.531 0.303
7 Mg 0.000 0.000 0.000
8 S 0.174 0.661 0.913
9 S 0.087 0.826 0.339
10 S 0.339 0.087 0.826
11 S 0.673 0.673 0.673
12 S 0.327 0.327 0.327
13 S 0.661 0.913 0.174
14 S 0.913 0.174 0.661
15 S 0.826 0.339 0.087

---

7.
Ac2MgS: optimized geometry, PBE.

Output
Uncorrected formation energy = -0.59 eV/atom

a = 4.051 Å, b = 4.051 Å, c = 11.100 Å
α = 79.49°, β = 79.49°, γ = 60.00°
Element x y z (fractional)
1 Mg 0.000 0.000 0.000
2 Ac 0.110 0.110 0.669
3 Ac 0.890 0.890 0.331
4 S 0.500 0.500 0.500

---

8.
Ac5MgS8: optimized geometry, PBE.

Output
Uncorrected formation energy = -1.97 eV/atom

a = 7.781 Å, b = 7.781 Å, c = 7.781 Å
α = 110.03°, β = 108.37°, γ = 110.03°
Element x y z (fractional)
1 Ac 0.024 0.394 0.144
2 Ac 0.856 0.880 0.249
3 Ac 0.751 0.606 0.630
4 Ac 0.500 0.000 0.500
5 Ac 0.370 0.120 0.976
6 Mg 0.250 0.500 0.750
7 S 0.152 0.742 0.008
8 S 0.992 0.143 0.734
9 S 0.754 0.240 0.350
10 S 0.650 0.404 0.889
11 S 0.486 0.596 0.246
12 S 0.591 0.857 0.848
13 S 0.266 0.258 0.409
14 S 0.111 0.760 0.514

---

9.
Ac3Sm3MgS8: optimized geometry, PBE.

Output
Uncorrected formation energy = -1.95 eV/atom

a = 8.153 Å, b = 8.153 Å, c = 8.328 Å
α = 119.31°, β = 90.00°, γ = 120.00°
Element x y z (fractional)
1 Ac 0.000 0.000 0.000
2 Ac 0.000 0.500 0.000
3 Ac 0.500 0.500 0.000
4 Sm 0.500 0.000 0.500
5 Sm 0.500 0.500 0.500
6 Sm 0.000 0.500 0.500
7 Mg 0.000 0.000 0.500
8 S 0.257 0.514 0.270
9 S 0.743 0.486 0.730
10 S 0.767 0.534 0.279
11 S 0.233 0.466 0.721
12 S 0.767 0.012 0.279
13 S 0.233 0.988 0.721
14 S 0.245 0.012 0.279
15 S 0.755 0.988 0.721

---

10.
Ac2MgTiS6: optimized geometry, PBE.

Output
Uncorrected formation energy = -1.73 eV/atom

a = 6.991 Å, b = 6.740 Å, c = 6.903 Å
α = 119.22°, β = 121.47°, γ = 90.00°
Element x y z (fractional)
1 Ac 0.235 0.251 0.502
2 Ac 0.765 0.749 0.498
3 Mg 0.000 0.500 0.000
4 Ti 0.500 0.000 0.000
5 S 0.350 0.758 0.515
6 S 0.206 0.196 0.896
7 S 0.794 0.300 0.104
8 S 0.206 0.700 0.896
9 S 0.794 0.804 0.104
10 S 0.650 0.242 0.485

---

11.
Ac2TmMgS6: optimized geometry, PBE.

Output
Uncorrected formation energy = -1.82 eV/atom

a = 6.641 Å, b = 7.516 Å, c = 9.880 Å
α = 90.00°, β = 91.21°, γ = 90.00°
Element x y z (fractional)
1 Ac 0.036 0.904 0.249
2 Ac 0.536 0.596 0.749
3 Ac 0.964 0.096 0.751
4 Ac 0.464 0.404 0.251
5 Tm 0.500 0.000 0.000
6 Tm 0.000 0.500 0.500
7 Mg 0.500 0.000 0.500
8 Mg 0.000 0.500 0.000
9 S 0.320 0.687 0.054
10 S 0.820 0.813 0.554
11 S 0.680 0.313 0.946
12 S 0.180 0.187 0.446
13 S 0.328 0.689 0.446
14 S 0.828 0.811 0.946
15 S 0.672 0.311 0.554
16 S 0.172 0.189 0.054
17 S 0.892 0.529 0.243
18 S 0.392 0.971 0.743
19 S 0.108 0.471 0.757
20 S 0.608 0.029 0.257

---

12.
Ac3Y3MgS8: optimized geometry, PBE.

Output
Uncorrected formation energy = -1.95 eV/atom

a = 8.022 Å, b = 8.023 Å, c = 8.283 Å
α = 118.96°, β = 90.00°, γ = 120.00°
Element x y z (fractional)
1 Ac 0.000 0.000 0.000
2 Ac 0.000 0.500 0.000
3 Ac 0.500 0.500 0.000
4 Y 0.500 0.000 0.500
5 Y 0.500 0.500 0.500
6 Y 0.000 0.500 0.500
7 Mg 0.000 0.000 0.500
8 S 0.260 0.519 0.279
9 S 0.740 0.481 0.721
10 S 0.765 0.531 0.283
11 S 0.235 0.469 0.717
12 S 0.765 0.018 0.283
13 S 0.235 0.982 0.717
14 S 0.252 0.018 0.283
15 S 0.748 0.982 0.717

---

13.
Ac2MgZnS5: optimized geometry, PBE.

Output
Uncorrected formation energy = -1.70 eV/atom

a = 4.066 Å, b = 8.830 Å, c = 11.884 Å
α = 90.00°, β = 90.00°, γ = 103.31°
Element x y z (fractional)
1 Ac 0.867 0.735 0.806
2 Ac 0.116 0.233 0.691
3 Ac 0.133 0.265 0.306
4 Ac 0.884 0.767 0.191
5 Mg 0.796 0.591 0.514
6 Mg 0.204 0.409 0.014
7 Zn 0.557 0.113 0.955
8 Zn 0.443 0.887 0.455
9 S 0.353 0.705 0.003
10 S 0.688 0.376 0.864
11 S 0.497 0.995 0.779
12 S 0.290 0.580 0.660
13 S 0.950 0.899 0.553
14 S 0.647 0.295 0.503
15 S 0.312 0.624 0.364
16 S 0.503 0.005 0.279
17 S 0.710 0.420 0.160
18 S 0.050 0.101 0.053

---

14.
AcMgSb2: optimized geometry, PBE.

Output
Polymorph energy (0 for the lowest one) = 226 meV/atom
Uncorrected formation energy = -0.51 eV/atom

a = 4.114 Å, b = 4.114 Å, c = 6.959 Å
α = 90.00°, β = 90.00°, γ = 90.00°
Element x y z (fractional)
1 Sb 0.000 0.000 0.780
2 Sb 0.000 0.000 0.220
3 Ac 0.500 0.500 0.500
4 Mg 0.500 0.500 0.000

---

15.
AcMgSb2: optimized geometry, PBE.

Output
Polymorph energy (0 for the lowest one) = 237 meV/atom
Uncorrected formation energy = -0.50 eV/atom

a = 5.533 Å, b = 5.533 Å, c = 5.533 Å
α = 60.00°, β = 60.00°, γ = 60.00°
Element x y z (fractional)
1 Sb 0.250 0.250 0.250
2 Sb 0.750 0.750 0.750
3 Ac 0.000 0.000 0.000
4 Mg 0.500 0.500 0.500

---

16.
Ac2MgSb: optimized geometry, PBE.

Output
Polymorph energy (0 for the lowest one) = 0 meV/atom
Uncorrected formation energy = -0.54 eV/atom

a = 4.264 Å, b = 4.264 Å, c = 7.592 Å
α = 90.00°, β = 90.00°, γ = 90.00°
Element x y z (fractional)
1 Sb 0.500 0.500 0.500
2 Ac 0.000 0.000 0.739
3 Ac 0.000 0.000 0.261
4 Mg 0.500 0.500 0.000

---

17.
AcMgSb2: optimized geometry, PBE.

Output
Polymorph energy (0 for the lowest one) = 132 meV/atom
Uncorrected formation energy = -0.60 eV/atom

a = 5.064 Å, b = 5.064 Å, c = 6.200 Å
α = 65.89°, β = 65.89°, γ = 60.00°
Element x y z (fractional)
1 Sb 0.727 0.727 0.819
2 Sb 0.273 0.273 0.181
3 Ac 0.500 0.500 0.500
4 Mg 0.000 0.000 0.000

---

18.
Ac2Mg16Sb: optimized geometry, PBE.

Output
Uncorrected formation energy = -0.12 eV/atom

a = 7.910 Å, b = 7.910 Å, c = 7.910 Å
α = 83.22°, β = 83.22°, γ = 83.22°
Element x y z (fractional)
1 Ac 0.669 0.669 0.669
2 Ac 0.331 0.331 0.331
3 Mg 0.695 0.001 0.306
4 Mg 0.001 0.306 0.695
5 Mg 0.306 0.695 0.001
6 Mg 0.001 0.695 0.306
7 Mg 0.695 0.306 0.001
8 Mg 0.306 0.001 0.695
9 Mg 0.346 0.842 0.346
10 Mg 0.842 0.346 0.346
11 Mg 0.346 0.346 0.842
12 Mg 0.650 0.167 0.650
13 Mg 0.167 0.650 0.650
14 Mg 0.650 0.650 0.167
15 Mg 0.003 0.497 0.003
16 Mg 0.497 0.003 0.003
17 Mg 0.003 0.003 0.497
18 Mg 0.092 0.092 0.092
19 Sb 0.897 0.897 0.897

---

19.
Ac2MgSb: optimized geometry, PBE.

Output
Polymorph energy (0 for the lowest one) = 415 meV/atom
Uncorrected formation energy = -0.13 eV/atom

a = 4.337 Å, b = 4.337 Å, c = 11.747 Å
α = 79.36°, β = 79.36°, γ = 60.00°
Element x y z (fractional)
1 Sb 0.500 0.500 0.500
2 Ac 0.106 0.106 0.681
3 Ac 0.894 0.894 0.319
4 Mg 0.000 0.000 0.000

---

20.
AcMgSb2: optimized geometry, PBE.

Output
Polymorph energy (0 for the lowest one) = 0 meV/atom
Uncorrected formation energy = -0.74 eV/atom

a = 4.572 Å, b = 4.572 Å, c = 11.598 Å
α = 90.00°, β = 90.00°, γ = 90.00°
Element x y z (fractional)
1 Ac 0.000 0.500 0.281
2 Ac 0.500 0.000 0.719
3 Mg 0.500 0.500 0.000
4 Mg 0.000 0.000 0.000
5 Sb 0.500 0.000 0.160
6 Sb 0.000 0.500 0.840
7 Sb 0.000 0.000 0.500
8 Sb 0.500 0.500 0.500

---

21.
AcMgSb2: optimized geometry, PBE.

Output
Polymorph energy (0 for the lowest one) = 130 meV/atom
Uncorrected formation energy = -0.61 eV/atom

a = 4.406 Å, b = 5.189 Å, c = 5.189 Å
α = 90.00°, β = 90.00°, γ = 90.00°
Element x y z (fractional)
1 Sb 0.000 0.000 0.500
2 Sb 0.000 0.500 0.000
3 Ac 0.500 0.500 0.500
4 Mg 0.500 0.000 0.000

---

22.
Ac2MgSb: optimized geometry, PBE.

Output
Polymorph energy (0 for the lowest one) = 114 meV/atom
Uncorrected formation energy = -0.43 eV/atom

a = 5.793 Å, b = 5.793 Å, c = 5.793 Å
α = 60.00°, β = 60.00°, γ = 60.00°
Element x y z (fractional)
1 Sb 0.500 0.500 0.500
2 Ac 0.250 0.250 0.250
3 Ac 0.750 0.750 0.750
4 Mg 0.000 0.000 0.000

---

23.
AcMgSbSe: optimized geometry, PBE.

Output
Uncorrected formation energy = -1.12 eV/atom

a = 4.949 Å, b = 4.949 Å, c = 10.135 Å
α = 90.00°, β = 90.00°, γ = 90.00°
Element x y z (fractional)
1 Ac 0.500 0.000 0.669
2 Ac 0.000 0.500 0.331
3 Mg 0.500 0.500 0.000
4 Mg 0.000 0.000 0.000
5 Sb 0.000 0.500 0.841
6 Sb 0.500 0.000 0.159
7 Se 0.000 0.000 0.500
8 Se 0.500 0.500 0.500